Dy6CuTc2 (GGA-PBE, relaxed); calculated density = 9.03 g cm⁻³; formation energy = -62 meV per atom
1.0
7.857 0.067 -2.948
-4.081 6.933 -2.390
-0.163 -0.067 8.390
Dy Cu Tc
12 2 4
Direct
0.535 0.720 0.814
0.465 0.280 0.186
0.094 0.280 0.814
0.906 0.720 0.186
0.801 0.770 0.571
0.199 0.230 0.429
0.199 0.770 0.970
0.801 0.230 0.030
0.707 0.390 0.683
0.293 0.610 0.317
0.293 0.975 0.683
0.707 0.025 0.317
0.000 0.500 0.500
0.000 0.000 0.000
0.500 0.381 0.881
0.500 0.619 0.119
0.632 0.000 0.632
0.368 0.000 0.368